# 1
SrAc2Cd8: relaxed, PBE.

```
11
Lattice="5.559 0.000 0.000 0.003 6.800 0.000 2.758 3.392 8.418" Properties=species:S:1:pos:R:3 pbc="T T T"
Sr 0.000 0.000 0.000
Ac 2.766 6.778 5.213
Ac 5.554 3.414 3.206
Cd 2.774 3.375 5.053
Cd 4.159 6.812 8.414
Cd 2.776 1.531 2.109
Cd 2.777 5.273 2.095
Cd 5.543 4.919 6.323
Cd 5.545 8.661 6.309
Cd 4.161 3.380 0.004
Cd 5.547 6.817 3.366
```

ΔE_f in eV per atom: -0.2740
Final energy in eV per atom: -1.839
Total magnetic moment in μB per cell: 0.000

---

# 2
AlSiPb: relaxed, PBE.

```
3
Lattice="0.000 3.346 3.346 3.346 0.000 3.346 3.346 3.346 0.000" Properties=species:S:1:pos:R:3 pbc="T T T"
Al 0.000 0.000 0.000
Si 5.020 5.020 5.020
Pb 3.346 3.346 3.346
```

Formation energy from raw total energies in kJ per mole of atoms: 44.8
Offset from the most stable computed form in meV per atom: 279
Final energy in eV per atom: -3.827
Total magnetic moment in μB per cell: 0.000

---

# 3
Ti8AlGa2: relaxed, PBE.

```
11
Lattice="3.608 -6.336 0.000 3.608 6.336 0.000 -2.319 0.000 4.069" Properties=species:S:1:pos:R:3 pbc="T T T"
Ti -0.031 1.415 2.720
Ti 3.608 3.653 0.000
Ti -0.031 -1.415 2.720
Ti 2.470 0.000 0.903
Ti 2.426 0.000 3.165
Ti 4.928 1.415 1.349
Ti 3.608 -3.653 0.000
Ti 4.928 -1.415 1.349
Al 0.000 0.000 0.000
Ga 2.448 2.473 2.034
Ga 2.448 -2.473 2.034
```

ΔE_f in eV per atom: -0.1475
Final energy in eV per atom: -6.780
Total magnetic moment in μB per cell: 0.000